1.
Ac3Tb2Sn3, optimized geometry, DFT GGA-PBE; ΔE_f = -0.638 eV/atom; N(E_F) = 1.14 states/eV/atom; energy relative to the lowest polymorph listed for this composition = 0.00 kJ per mole of atoms; M_tot = 0.0 μB/f.u.
1.0
6.8692 0.0000 0.0000
0.0000 8.3123 -4.7991
0.0000 0.0000 9.5982
Sn Tb Ac
6 4 6
Cartesian
5.1519 0.0000 5.7478 Sn
1.7173 3.3346 -1.9252 Sn
1.7173 4.9777 2.8739 Sn
1.7173 0.0000 3.8504 Sn
5.1519 3.3346 1.9252 Sn
5.1519 4.9777 -2.8739 Sn
0.0000 5.5415 0.0000 Tb
3.4346 5.5415 0.0000 Tb
0.0000 2.7708 4.7991 Tb
3.4346 2.7708 4.7991 Tb
5.1519 0.0000 2.3687 Ac
5.1519 2.0514 -1.1844 Ac
1.7173 6.2609 -3.6148 Ac
1.7173 2.0514 1.1844 Ac
5.1519 6.2609 3.6148 Ac
1.7173 0.0000 7.2295 Ac



2.
Fe5Co2NiPd2, optimized geometry, DFT GGA-PBE; ΔE_f = 0.199 eV/atom; N(E_F) = 1.11 states/eV/atom; M_tot = 18.4 μB/f.u.
1.0
3.7524 0.0000 0.0000
0.0000 8.3235 0.0000
0.0000 0.0000 8.3235
Fe Pd Co Ni
10 4 4 2
Cartesian
1.8762 6.6515 7.7686 Fe
1.8762 5.8337 3.6069 Fe
1.8762 3.6069 2.4898 Fe
1.8762 1.6720 0.5549 Fe
1.8762 7.7686 1.6720 Fe
1.8762 4.7166 5.8337 Fe
1.8762 0.0000 4.1617 Fe
1.8762 4.1617 0.0000 Fe
1.8762 0.5549 6.6515 Fe
1.8762 2.4898 4.7166 Fe
0.0000 1.4886 2.6731 Pd
0.0000 6.8349 5.6504 Pd
0.0000 2.6731 6.8349 Pd
0.0000 5.6504 1.4886 Pd
0.0000 5.1306 7.3547 Co
0.0000 7.3547 3.1929 Co
0.0000 0.9688 5.1306 Co
0.0000 3.1929 0.9688 Co
0.0000 0.0000 0.0000 Ni
0.0000 4.1617 4.1617 Ni



3.
SiSnPt4, optimized geometry, DFT GGA-PBE; N(E_F) = 0.25 states/eV/atom; energy relative to the elements, uncorrected = -527.6 meV/atom; M_tot = 0.0 μB/f.u.
1.0
-2.1844 -1.2558 -3.2519
3.3587 -6.2423 0.1545
-4.5100 -0.9427 5.9955
Pt Si Sn
8 2 2
Cartesian
0.0038 -5.9522 3.6495 Pt
-3.3395 -2.4885 -0.7513 Pt
-1.0299 -3.9429 -1.5496 Pt
-0.5240 -4.9565 1.0174 Pt
-2.3059 -4.4978 4.4477 Pt
1.6249 -6.5033 -0.0202 Pt
-2.8117 -3.4843 1.8807 Pt
-4.9606 -1.9375 2.9183 Pt
-0.5757 -3.5925 3.0750 Si
-3.3472 -1.0992 1.3718 Si
0.3565 -1.8383 -0.6806 Sn
0.8178 -5.6597 -2.4168 Sn